Entry from the Alexandria database: crystalline Ba3PuPa2As6 at its relaxed geometry (PBE).

* energy: -80.2 eV/cell
* calculated volume: 366 Å³/cell
* energy relative to the elements: -1.099 eV per atom
* crystal system: monoclinic

Unit cell a=7.523 b=7.523 c=7.872 alpha=99.16 beta=99.16 gamma=119.99
Fractional coordinates of all 12 atoms:
Ba: 0.000 0.000 0.000
Ba: 0.336 0.664 0.000
Ba: 0.664 0.336 0.000
Pu: 0.500 0.500 0.500
Pa: 0.167 0.833 0.500
Pa: 0.833 0.167 0.500
As: 0.088 0.432 0.297
As: 0.223 0.223 0.702
As: 0.432 0.088 0.297
As: 0.568 0.912 0.703
As: 0.777 0.777 0.298
As: 0.912 0.568 0.703

---

Entry from the Alexandria database: crystalline Ba2PuPaAs4 at its relaxed geometry (PBE).

* energy: -54.9 eV/cell
* calculated volume: 245 Å³/cell
* energy relative to the elements: -1.077 eV per atom
* crystal system: monoclinic

Unit cell a=7.544 b=4.362 c=7.858 alpha=90.00 beta=108.78 gamma=90.00
Fractional coordinates of all 8 atoms:
Ba: 0.000 0.000 0.000
Ba: 0.500 0.500 0.000
Pu: 0.000 0.500 0.500
Pa: 0.500 0.000 0.500
As: 0.242 0.000 0.702
As: 0.275 0.500 0.298
As: 0.725 0.500 0.702
As: 0.758 0.000 0.298

---

Entry from the Alexandria database: crystalline BaPa2AsS8 at its relaxed geometry (PBE).

* energy: -71.7 eV/cell
* calculated volume: 324 Å³/cell
* formation energy from raw total energies: -1093 meV per atom
* crystal system: monoclinic

Unit cell a=6.194 b=8.468 c=6.199 alpha=90.00 beta=94.05 gamma=90.00
Fractional coordinates of all 12 atoms:
Ba: 0.000 0.000 0.000
Pa: 0.500 0.255 0.500
Pa: 0.500 0.745 0.500
As: 0.000 0.500 0.000
S: 0.255 0.295 0.149
S: 0.255 0.705 0.149
S: 0.258 0.500 0.640
S: 0.277 0.000 0.608
S: 0.723 0.000 0.392
S: 0.742 0.500 0.360
S: 0.745 0.295 0.851
S: 0.745 0.705 0.851

---

Entry from the Alexandria database: crystalline Ba2PaAs2S2 at its relaxed geometry (PBE).

* energy: -40.2 eV/cell
* calculated volume: 238 Å³/cell
* formation energy from raw total energies: -1323 meV per atom
* crystal system: tetragonal

Unit cell a=8.884 b=8.884 c=8.884 alpha=144.27 beta=144.27 gamma=51.42
Fractional coordinates of all 7 atoms:
Ba: 0.143 0.143 0.000
Ba: 0.857 0.857 0.000
Pa: 0.500 0.500 0.000
As: 0.000 0.500 0.500
As: 0.500 0.000 0.500
S: 0.334 0.334 0.000
S: 0.666 0.666 0.000

---

Entry from the Alexandria database: crystalline Ba2PaAsS6 at its relaxed geometry (PBE).

* energy: -56.8 eV/cell
* calculated volume: 273 Å³/cell
* formation energy from raw total energies: -1402 meV per atom
* crystal system: tetragonal

Unit cell a=5.172 b=5.172 c=10.187 alpha=90.00 beta=90.00 gamma=90.00
Fractional coordinates of all 10 atoms:
Ba: 0.000 0.000 0.212
Ba: 0.000 0.000 0.788
Pa: 0.500 0.500 0.500
As: 0.500 0.500 0.000
S: 0.000 0.500 0.000
S: 0.000 0.500 0.500
S: 0.500 0.000 0.000
S: 0.500 0.000 0.500
S: 0.500 0.500 0.248
S: 0.500 0.500 0.752

---

Entry from the Alexandria database: crystalline Ba3Sc2PaAs6 at its relaxed geometry (PBE).

* energy: -69.2 eV/cell
* calculated volume: 346 Å³/cell
* energy relative to the elements: -1.111 eV per atom
* crystal system: monoclinic

Unit cell a=7.369 b=7.369 c=7.761 alpha=99.11 beta=99.11 gamma=120.04
Fractional coordinates of all 12 atoms:
Ba: 0.000 0.000 0.000
Ba: 0.332 0.668 0.000
Ba: 0.668 0.332 0.000
Sc: 0.167 0.833 0.500
Sc: 0.833 0.167 0.500
Pa: 0.500 0.500 0.500
As: 0.099 0.434 0.303
As: 0.230 0.230 0.698
As: 0.434 0.099 0.303
As: 0.566 0.901 0.697
As: 0.770 0.770 0.302
As: 0.901 0.566 0.697